Crystalline Tl2FeNi at its relaxed geometry, computed with PBE.

Output
For the mass density, the calculation gives 11.737 Mg/m³. The calculation puts the formation energy at 581 meV per atom. The value obtained for the final energy is -16.65 eV per cell.

CIF file:
```
data_Tl2FeNi
_chemical_formula_sum 'Tl2 Fe1 Ni1'
_cell_length_a 4.651
_cell_length_b 3.081
_cell_length_c 5.560
_cell_angle_alpha 90.00
_cell_angle_beta 111.69
_cell_angle_gamma 90.00
_space_group_name_H-M_alt 'P 1 2/m 1'
_space_group_IT_number 10
loop_
_space_group_symop_operation_xyz
'x,y,z'
'-x,-y,-z'
'-x,y,-z'
'x,-y,z'
loop_
_atom_site_label
_atom_site_type_symbol
_atom_site_fract_x
_atom_site_fract_y
_atom_site_fract_z
Tl1 Tl 0.000 0.000 0.000
Tl2 Tl 0.500 0.500 0.500
Fe1 Fe 0.000 0.000 0.500
Ni1 Ni 0.500 0.500 0.000
```